No. 1
Below is Mo2Pt after structural relaxation, with properties calculated at the PBE level.

```
12
Lattice="5.6315 0.0000 0.0000 0.0000 3.9368 0.0000 0.0000 0.0000 8.4609" Properties=species:S:1:pos:R:3 pbc="T T T"
Mo 0.8195 0.9842 2.0222
Mo 0.6713 0.9842 4.9130
Mo 2.1445 2.9526 0.6825
Mo 1.9963 2.9526 6.2527
Mo 3.6352 0.9842 2.2082
Mo 3.4870 0.9842 7.7784
Mo 4.9602 2.9526 3.5479
Mo 4.8120 2.9526 6.4387
Pt 0.6904 0.9842 7.7374
Pt 2.1254 2.9526 3.5070
Pt 3.5061 0.9842 4.9539
Pt 4.9411 2.9526 0.7235
```

Crystal system = orthorhombic
DOS at the Fermi energy = 10.9 states/eV per cell
Size of the total moment = 0.00 μB per cell
Uncorrected energy = -9.392 eV/atom
Energy of formation = -15.2 kJ/mol of atoms
Excess energy over the best structure of this formula in the dataset = 7 meV per atom


No. 2
Below is Ac2ErIr9 after structural relaxation, with properties calculated at the PBE level.

```
12
Lattice="-3.1871 -3.7865 -2.1477 0.7501 -5.1913 1.2629 -6.5432 -2.1242 6.6784" Properties=species:S:1:pos:R:3 pbc="T T T"
Ac -4.8286 -8.6154 2.0253
Ac -4.1517 -2.4866 3.7684
Er 0.0000 0.0000 0.0000
Ir -8.1400 -8.1136 6.0547
Ir -0.8402 -2.9884 -0.2610
Ir -4.4901 -5.5510 2.8969
Ir -2.5673 -4.3050 1.1904
Ir -4.1400 -6.1733 0.1307
Ir -2.1972 -6.8665 1.8136
Ir -6.4129 -6.7970 4.6033
Ir -6.7830 -4.2354 3.9801
Ir -4.8403 -4.9286 5.6630
```

Crystal system = trigonal
DOS at the Fermi energy = 10.0 states/eV per cell
Size of the total moment = 0.00 μB per cell
Uncorrected energy = -8.140 eV/atom
Energy of formation = -41.5 kJ/mol of atoms


No. 3
Below is CaTbAlCu after structural relaxation, with properties calculated at the PBE level.

```
4
Lattice="5.0946 0.0000 0.0000 2.5473 4.4121 0.0000 2.5473 1.4707 4.1597" Properties=species:S:1:pos:R:3 pbc="T T T"
Ca 5.0946 2.9414 2.0799
Tb 0.0000 0.0000 0.0000
Al 7.6419 4.4121 3.1198
Cu 2.5473 1.4707 1.0399
```

Crystal system = cubic
DOS at the Fermi energy = 3.4 states/eV per cell
Size of the total moment = 0.00 μB per cell
Uncorrected energy = -3.808 eV/atom
Energy of formation = -18.4 kJ/mol of atoms


No. 4
Below is FeTcAg2 after structural relaxation, with properties calculated at the PBE level.

```
4
Lattice="-1.9371 -0.7389 1.6462 -0.9878 -0.4508 -2.4144 3.4218 -8.5378 0.1941" Properties=species:S:1:pos:R:3 pbc="T T T"
Ag 0.0319 -0.0795 0.0018
Ag 1.6790 -4.1894 0.0952
Fe -0.6070 -2.7293 -0.3356
Tc 1.1039 -6.9982 -0.2385
```

Crystal system = orthorhombic
DOS at the Fermi energy = 3.3 states/eV per cell
Size of the total moment = 2.87 μB per cell
Uncorrected energy = -5.602 eV/atom
Energy of formation = 51.2 kJ/mol of atoms
Excess energy over the best structure of this formula in the dataset = 230 meV per atom


No. 5
Below is NdErSN after structural relaxation, with properties calculated at the PBE level.

```
4
Lattice="3.6665 0.0000 0.0000 1.8333 3.1753 0.0000 1.8333 1.0584 6.4307" Properties=species:S:1:pos:R:3 pbc="T T T"
Nd 5.4998 3.1753 0.2425
Er 3.6665 2.1169 2.9416
S 5.4998 3.1753 4.7135
N 1.8333 1.0584 1.7485
```

E_form (uncorrected) = -1.797 eV per atom
Crystal system = trigonal
DOS at the Fermi energy = 0.9 states/eV per cell
Size of the total moment = 0.00 μB per cell
Uncorrected energy = -7.243 eV/atom


No. 6
Below is CdSb2Ir after structural relaxation, with properties calculated at the PBE level.

```
4
Lattice="7.2549 0.0589 -0.0139 5.2261 5.0324 0.0139 -6.0097 -3.1114 2.6153" Properties=species:S:1:pos:R:3 pbc="T T T"
Sb 0.8281 0.3378 0.0000
Sb 4.0310 -0.1359 1.3007
Ir 2.3726 2.0881 1.3146
Cd 5.4802 2.2355 0.0000
```

E_form (uncorrected) = 0.117 eV per atom
Crystal system = orthorhombic
DOS at the Fermi energy = 2.1 states/eV per cell
Size of the total moment = 0.00 μB per cell
Uncorrected energy = -4.388 eV/atom
Excess energy over the best structure of this formula in the dataset = 179 meV per atom